## In2CoPb (meta-GGA SCAN)

Data for a crystal of In2CoPb relaxed with PBEsol.

Unit cell a=3.0247 b=4.3332 c=13.1236 alpha=90.00 beta=90.00 gamma=90.00
Space group Imm2 (No. 44)
Unique sites:
1 In 0.0000 0.0000 0.0000 (multiplicity 2)
2 In 0.0000 0.5000 0.1698 (multiplicity 2)
3 Co 0.0000 0.0000 0.5017 (multiplicity 2)
4 Pb 0.0000 0.5000 0.8188 (multiplicity 2)

As for the density of states at the Fermi level: 0.59 states/eV per atom. The final energy comes out at -39.75 eV per atom. As for the energy of formation from the pure elements: 0.212 eV/atom.